Entry 1:
The following is a GGA-PBE calculation of AlFeN3 after structural relaxation, from Alexandria via LeMat-Bulk.

CIF file:
```
data_AlFeN3
_chemical_formula_sum 'Al1 Fe1 N3'
_cell_length_a 3.647
_cell_length_b 3.647
_cell_length_c 3.647
_cell_angle_alpha 90.00
_cell_angle_beta 90.00
_cell_angle_gamma 90.00
_space_group_name_H-M_alt 'P m -3 m'
_space_group_IT_number 221
_space_group_name_Hall '-P 4 2 3'
loop_
_atom_site_label
_atom_site_type_symbol
_atom_site_fract_x
_atom_site_fract_y
_atom_site_fract_z
_atom_site_occupancy
Al1 Al 0.000 0.000 0.000 1
Fe1 Fe 0.500 0.500 0.500 1
N1 N 0.000 0.000 0.500 1
```

Properties
- formation energy (no corrections) (meV/atom) = 1354

=====

Entry 2:
The following is a GGA-PBE calculation of Re4Bi after structural relaxation, from Alexandria via LeMat-Bulk.

CIF file:
```
data_Re4Bi
_chemical_formula_sum 'Re4 Bi1'
_cell_length_a 4.864
_cell_length_b 4.864
_cell_length_c 4.864
_cell_angle_alpha 90.00
_cell_angle_beta 90.00
_cell_angle_gamma 90.00
_space_group_name_H-M_alt 'P m -3 m'
_space_group_IT_number 221
_space_group_name_Hall '-P 4 2 3'
loop_
_atom_site_label
_atom_site_type_symbol
_atom_site_fract_x
_atom_site_fract_y
_atom_site_fract_z
_atom_site_occupancy
Re1 Re 0.000 0.000 0.000 1
Re2 Re 0.000 0.500 0.500 1
Bi1 Bi 0.500 0.500 0.500 1
```

Properties
- formation energy from the elements (eV/atom) = 3.68

=====

Entry 3:
The following is a GGA-PBE calculation of Pm4Al2TlGa after structural relaxation, from Alexandria via LeMat-Bulk.

CIF file:
```
data_Pm4Al2TlGa
_chemical_formula_sum 'Pm12 Al6 Tl3 Ga3'
_cell_length_a 5.2938
_cell_length_b 5.2938
_cell_length_c 25.9275
_cell_angle_alpha 90.00
_cell_angle_beta 90.00
_cell_angle_gamma 120.00
_space_group_name_H-M_alt 'R -3 m'
_space_group_IT_number 166
_space_group_name_Hall '-R 3 2"'
loop_
_atom_site_label
_atom_site_type_symbol
_atom_site_fract_x
_atom_site_fract_y
_atom_site_fract_z
_atom_site_occupancy
Pm1 Pm 0.0000 0.0000 0.1210 1
Pm2 Pm 0.0000 0.0000 0.3715 1
Al1 Al 0.0000 0.0000 0.2478 1
Tl1 Tl 0.0000 0.0000 0.5000 1
Ga1 Ga 0.0000 0.0000 0.0000 1
```

Properties
- formation energy from the elements (eV/atom) = -0.40

=====

Entry 4:
The following is a GGA-PBE calculation of CuIrS2 after structural relaxation, from Alexandria via LeMat-Bulk.

CIF file:
```
data_CuIrS2
_chemical_formula_sum 'Cu2 Ir2 S4'
_cell_length_a 6.473
_cell_length_b 3.623
_cell_length_c 5.402
_cell_angle_alpha 90.00
_cell_angle_beta 95.13
_cell_angle_gamma 90.00
_space_group_name_H-M_alt 'C 1 2/m 1'
_space_group_IT_number 12
loop_
_space_group_symop_operation_xyz
'x,y,z'
'-x,-y,-z'
'-x,y,-z'
'x,-y,z'
'x+1/2,y+1/2,z'
'-x+1/2,-y+1/2,-z'
'-x+1/2,y+1/2,-z'
'x+1/2,-y+1/2,z'
loop_
_atom_site_label
_atom_site_type_symbol
_atom_site_fract_x
_atom_site_fract_y
_atom_site_fract_z
_atom_site_occupancy
Cu1 Cu 0.000 0.000 0.000 1
Ir1 Ir 0.000 0.000 0.500 1
S1 S 0.156 0.500 0.282 1
```

Properties
- formation energy (no corrections) (meV/atom) = -133

=====

Entry 5:
The following is a GGA-PBE calculation of Ti2SnPd after structural relaxation, from Alexandria via LeMat-Bulk.

CIF file:
```
data_Ti2SnPd
_chemical_formula_sum 'Ti8 Sn4 Pd4'
_cell_length_a 7.375
_cell_length_b 7.375
_cell_length_c 5.584
_cell_angle_alpha 90.00
_cell_angle_beta 90.00
_cell_angle_gamma 90.00
_space_group_name_H-M_alt 'I -4 2 d'
_space_group_IT_number 122
_space_group_name_Hall 'I -4 2bw'
loop_
_atom_site_label
_atom_site_type_symbol
_atom_site_fract_x
_atom_site_fract_y
_atom_site_fract_z
_atom_site_occupancy
Ti1 Ti 0.221 0.250 0.125 1
Sn1 Sn 0.000 0.000 0.500 1
Pd1 Pd 0.000 0.000 0.000 1
```

Properties
- formation energy from the elements (eV/atom) = -0.11

=====

Entry 6:
The following is a GGA-PBE calculation of Ho2TaS after structural relaxation, from Alexandria via LeMat-Bulk.

CIF file:
```
data_Ho2TaS
_chemical_formula_sum 'Ho6 Ta3 S3'
_cell_length_a 3.4081
_cell_length_b 3.4081
_cell_length_c 28.3785
_cell_angle_alpha 90.00
_cell_angle_beta 90.00
_cell_angle_gamma 120.00
_space_group_name_H-M_alt 'R -3 m'
_space_group_IT_number 166
_space_group_name_Hall '-R 3 2"'
loop_
_atom_site_label
_atom_site_type_symbol
_atom_site_fract_x
_atom_site_fract_y
_atom_site_fract_z
_atom_site_occupancy
Ho1 Ho 0.0000 0.0000 0.1037 1
Ta1 Ta 0.0000 0.0000 0.0000 1
S1 S 0.0000 0.0000 0.5000 1
```

Properties
- formation energy (no corrections) (meV/atom) = -187

=====

Entry 7:
The following is a GGA-PBE calculation of PuPa2Fe after structural relaxation, from Alexandria via LeMat-Bulk.

CIF file:
```
data_PuPa2Fe
_chemical_formula_sum 'Pu3 Pa6 Fe3'
_cell_length_a 3.5830
_cell_length_b 3.5830
_cell_length_c 24.5907
_cell_angle_alpha 90.00
_cell_angle_beta 90.00
_cell_angle_gamma 120.00
_space_group_name_H-M_alt 'R 3 m'
_space_group_IT_number 160
_space_group_name_Hall 'R 3 -2"'
loop_
_atom_site_label
_atom_site_type_symbol
_atom_site_fract_x
_atom_site_fract_y
_atom_site_fract_z
_atom_site_occupancy
Pu1 Pu 0.0000 0.0000 0.0000 1
Pa1 Pa 0.0000 0.0000 0.5646 1
Pa2 Pa 0.0000 0.0000 0.7690 1
Fe1 Fe 0.0000 0.0000 0.1663 1
```

Properties
- formation energy from the elements (eV/atom) = 0.08
- excess energy over the best structure of this formula in the dataset (meV/atom) = 33

=====

Entry 8:
The following is a GGA-PBE calculation of LiTbSn2Pt4 after structural relaxation, from Alexandria via LeMat-Bulk.

CIF file:
```
data_LiTbSn2Pt4
_chemical_formula_sum 'Li3 Tb3 Sn6 Pt12'
_cell_length_a 4.5158
_cell_length_b 4.5158
_cell_length_c 25.0184
_cell_angle_alpha 90.00
_cell_angle_beta 90.00
_cell_angle_gamma 120.00
_space_group_name_H-M_alt 'R -3 m'
_space_group_IT_number 166
_space_group_name_Hall '-R 3 2"'
loop_
_atom_site_label
_atom_site_type_symbol
_atom_site_fract_x
_atom_site_fract_y
_atom_site_fract_z
_atom_site_occupancy
Li1 Li 0.0000 0.0000 0.0000 1
Tb1 Tb 0.0000 0.0000 0.5000 1
Sn1 Sn 0.0000 0.0000 0.2577 1
Pt1 Pt 0.0000 0.0000 0.1020 1
Pt2 Pt 0.0000 0.0000 0.3682 1
```

Properties
- formation energy from the elements (eV/atom) = -0.77